P) The following is a DFT calculation (GGA-PBE) of a geometry-optimized Na3SnBr structure.

Cell and atoms, written as extended XYZ:
```
5
Lattice="5.492 0.000 0.000 0.000 5.492 0.000 0.000 0.000 5.492" Properties=species:S:1:pos:R:3 pbc="T T T"
Na 0.000 0.000 2.746
Na 0.000 2.746 0.000
Na 2.746 0.000 0.000
Sn 2.746 2.746 2.746
Br 0.000 0.000 0.000
```

Calculated values
The density is 2.68 g/cm3. The space group is Pm-3m (221). For the density of states at the Fermi level, the calculation gives 2.646 states/eV/cell.

=====

Q) The following is a DFT calculation (GGA-PBE) of a geometry-optimized Na3SnBr structure.

Cell and atoms, written as extended XYZ:
```
5
Lattice="5.983 0.000 0.000 0.000 5.983 0.000 0.000 0.000 5.983" Properties=species:S:1:pos:R:3 pbc="T T T"
Na 0.000 0.000 2.991
Na 0.000 2.991 0.000
Na 2.991 0.000 0.000
Sn 0.000 0.000 0.000
Br 2.991 2.991 2.991
```

Calculated values
The density is 2.07 g/cm3. The space group is Pm-3m (221). For the density of states at the Fermi level, the calculation gives 2.762 states/eV/cell.

=====

Least stable = Q)

=====

P) The following is a DFT calculation (GGA-PBE) of a geometry-optimized Na2SnBr5 structure.

Cell and atoms, written as extended XYZ:
```
16
Lattice="2.851 -7.299 0.000 2.851 7.299 0.000 0.000 0.000 13.923" Properties=species:S:1:pos:R:3 pbc="T T T"
Na 2.851 4.961 7.861
Na 2.851 4.961 13.024
Na 2.851 -4.961 0.899
Na 2.851 -4.961 6.062
Sn 2.851 4.696 3.481
Sn 2.851 -4.696 10.442
Br 2.851 6.586 1.552
Br 2.851 6.586 5.409
Br 2.851 2.991 10.442
Br 2.851 2.756 1.345
Br 2.851 2.756 5.617
Br 2.851 -2.756 8.307
Br 2.851 -2.756 12.578
Br 2.851 -2.991 3.481
Br 2.851 -6.586 8.514
Br 2.851 -6.586 12.371
```

Calculated values
The density is 3.23 g/cm3. The space group is Cmcm (63). For the density of states at the Fermi level, the calculation gives 4.940 states/eV/cell.

=====

Q) The following is a DFT calculation (GGA-PBE) of a geometry-optimized Na2SnBr5 structure.

Cell and atoms, written as extended XYZ:
```
8
Lattice="0.000 6.760 7.261 2.872 0.000 7.261 2.872 6.760 0.000" Properties=species:S:1:pos:R:3 pbc="T T T"
Na 2.872 6.760 2.819
Na 2.872 6.760 11.703
Sn 2.872 6.760 7.261
Br 0.000 0.000 0.000
Br 2.872 4.936 5.162
Br 2.872 8.584 5.162
Br 2.872 4.936 9.359
Br 2.872 8.584 9.359
```

Calculated values
The density is 3.32 g/cm3. The space group is Fmmm (69). For the density of states at the Fermi level, the calculation gives 2.713 states/eV/cell.

=====

Least stable = Q)

=====

P) The following is a DFT calculation (GGA-PBE) of a geometry-optimized NaSr2Br structure.

Cell and atoms, written as extended XYZ:
```
4
Lattice="0.000 4.354 4.354 4.354 0.000 4.354 4.354 4.354 0.000" Properties=species:S:1:pos:R:3 pbc="T T T"
Na 0.000 0.000 0.000
Sr 2.177 2.177 2.177
Sr 6.531 6.531 6.531
Br 4.354 4.354 4.354
```

Calculated values
The density is 2.80 g/cm3. The space group is Fm-3m (225). For the density of states at the Fermi level, the calculation gives 4.547 states/eV/cell.

=====

Q) The following is a DFT calculation (GGA-PBE) of a geometry-optimized NaSr2Br structure.

Cell and atoms, written as extended XYZ:
```
8
Lattice="-4.703 4.703 4.212 4.703 -4.703 4.212 4.703 4.703 -4.212" Properties=species:S:1:pos:R:3 pbc="T T T"
Na 0.000 0.000 0.000
Na 0.000 4.703 2.106
Sr 2.352 -1.837 3.159
Sr 2.867 2.352 1.053
Sr 2.352 6.540 -1.053
Sr 1.837 2.352 5.265
Br 4.703 0.000 2.106
Br 0.000 0.000 4.212
```

Calculated values
The density is 2.48 g/cm3. The space group is I-42d (122). For the density of states at the Fermi level, the calculation gives 2.233 states/eV/cell.

=====

R) The following is a DFT calculation (GGA-PBE) of a geometry-optimized NaSr2Br structure.

Cell and atoms, written as extended XYZ:
```
4
Lattice="2.101 1.213 10.985 -2.101 1.213 10.985 0.000 -2.426 10.985" Properties=species:S:1:pos:R:3 pbc="T T T"
Na 0.000 0.000 0.000
Sr 0.000 0.000 18.853
Sr 0.000 0.000 25.112
Br 0.000 0.000 5.519
```

Calculated values
The density is 2.75 g/cm3. The space group is R3m (160). For the density of states at the Fermi level, the calculation gives 2.240 states/eV/cell.

=====

Least stable = P)

=====

P) The following is a DFT calculation (GGA-PBE) of a geometry-optimized NaSrBr2 structure.

Cell and atoms, written as extended XYZ:
```
4
Lattice="2.250 1.299 9.039 -2.250 1.299 9.039 0.000 -2.599 9.039" Properties=species:S:1:pos:R:3 pbc="T T T"
Na 0.000 0.000 0.000
Sr 0.000 0.000 13.559
Br 0.000 0.000 10.630
Br 0.000 0.000 16.488
```

Calculated values
The density is 2.83 g/cm3. The space group is R-3m (166). For the density of states at the Fermi level, the calculation gives 1.111 states/eV/cell.

=====

Q) The following is a DFT calculation (GGA-PBE) of a geometry-optimized NaSrBr2 structure.

Cell and atoms, written as extended XYZ:
```
4
Lattice="0.000 3.929 3.929 3.929 0.000 3.929 3.929 3.929 0.000" Properties=species:S:1:pos:R:3 pbc="T T T"
Na 0.000 0.000 0.000
Sr 3.929 3.929 3.929
Br 1.965 1.965 1.965
Br 5.894 5.894 5.894
```

Calculated values
The density is 3.70 g/cm3. The space group is Fm-3m (225). For the density of states at the Fermi level, the calculation gives 3.200 states/eV/cell.

=====

R) The following is a DFT calculation (GGA-PBE) of a geometry-optimized NaSrBr2 structure.

Cell and atoms, written as extended XYZ:
```
4
Lattice="2.254 1.301 10.607 -2.254 1.301 10.607 0.000 -2.603 10.607" Properties=species:S:1:pos:R:3 pbc="T T T"
Na 0.000 0.000 0.000
Sr 0.000 0.000 15.911
Br 0.000 0.000 3.674
Br 0.000 0.000 28.148
```

Calculated values
The density is 2.41 g/cm3. The space group is R-3m (166). For the density of states at the Fermi level, the calculation gives 0.884 states/eV/cell.

=====

S) The following is a DFT calculation (GGA-PBE) of a geometry-optimized NaSrBr2 structure.

Cell and atoms, written as extended XYZ:
```
8
Lattice="-3.531 3.531 6.967 3.531 -3.531 6.967 3.531 3.531 -6.967" Properties=species:S:1:pos:R:3 pbc="T T T"
Na 0.000 0.000 0.000
Na 0.000 3.531 3.483
Sr 3.531 0.000 3.483
Sr 0.000 0.000 6.967
Br 5.297 1.690 -1.742
Br 1.690 1.766 1.742
Br -1.766 1.841 5.225
Br 1.841 1.766 8.708
```

Calculated values
The density is 2.58 g/cm3. The space group is I-42d (122). For the density of states at the Fermi level, the calculation gives 5.183 states/eV/cell.

=====

Least stable = Q)